1.
# NaReTe2, optimized geometry, DFT PBE-GGA
# Energy relative to the lowest polymorph listed for this composition, meV per atom: 46
# E_form (uncorrected), eV/atom: 0.1855
# Raw total energy, eV/atom: -4.8272
# Symmetry: No. 122
# Total moment, Bohr magnetons per cell: 0.00
data_NaReTe2
_cell_length_a 6.948
_cell_length_b 6.948
_cell_length_c 7.511
_cell_angle_alpha 62.45
_cell_angle_beta 62.45
_cell_angle_gamma 90.00
_space_group_name_H-M_alt 'P 1'
_space_group_IT_number 1
_space_group_name_Hall 'P 1'
loop_
_atom_site_label
_atom_site_fract_x
_atom_site_fract_y
_atom_site_fract_z
Te1 0.375 0.306 0.750
Te2 0.056 0.625 0.250
Te3 0.875 0.944 0.750
Te4 0.694 0.125 0.250
Re1 0.000 0.000 0.000
Re2 0.750 0.250 0.500
Na1 0.500 0.500 0.000
Na2 0.250 0.750 0.500

=====

2.
# Na2ReTe, optimized geometry, DFT PBE-GGA
# E_form (uncorrected), eV/atom: 0.8414
# Raw total energy, eV/atom: -3.7155
# Symmetry: No. 122
# Total moment, Bohr magnetons per cell: 4.41
data_Na2ReTe
_cell_length_a 8.745
_cell_length_b 8.745
_cell_length_c 6.710
_cell_angle_alpha 49.33
_cell_angle_beta 49.33
_cell_angle_gamma 90.00
_space_group_name_H-M_alt 'P 1'
_space_group_IT_number 1
_space_group_name_Hall 'P 1'
loop_
_atom_site_label
_atom_site_fract_x
_atom_site_fract_y
_atom_site_fract_z
Na1 0.632 0.125 0.250
Na2 0.875 0.882 0.750
Na3 0.118 0.625 0.250
Na4 0.375 0.368 0.750
Te1 0.250 0.750 0.500
Te2 0.500 0.500 0.000
Re1 0.000 0.000 0.000
Re2 0.750 0.250 0.500

=====

3.
# NaRe2Te, optimized geometry, DFT PBE-GGA
# E_form (uncorrected), eV/atom: 1.3723
# Raw total energy, eV/atom: -5.9669
# Symmetry: No. 122
# Total moment, Bohr magnetons per cell: 0.00
data_NaRe2Te
_cell_length_a 8.112
_cell_length_b 8.112
_cell_length_c 6.273
_cell_angle_alpha 49.71
_cell_angle_beta 49.71
_cell_angle_gamma 90.00
_space_group_name_H-M_alt 'P 1'
_space_group_IT_number 1
_space_group_name_Hall 'P 1'
loop_
_atom_site_label
_atom_site_fract_x
_atom_site_fract_y
_atom_site_fract_z
Te1 0.750 0.250 0.500
Te2 0.000 0.000 0.000
Na1 0.250 0.750 0.500
Na2 0.500 0.500 0.000
Re1 0.066 0.625 0.250
Re2 0.684 0.125 0.250
Re3 0.375 0.316 0.750
Re4 0.875 0.934 0.750

=====

4.
# NaReTe2, optimized geometry, DFT PBE-GGA
# Energy relative to the lowest polymorph listed for this composition, meV per atom: 502
# E_form (uncorrected), eV/atom: 0.6415
# Raw total energy, eV/atom: -4.3711
# Symmetry: No. 166
# Total moment, Bohr magnetons per cell: 0.00
data_NaReTe2
_cell_length_a 10.640
_cell_length_b 10.640
_cell_length_c 10.640
_cell_angle_alpha 17.27
_cell_angle_beta 17.27
_cell_angle_gamma 17.27
_space_group_name_H-M_alt 'P 1'
_space_group_IT_number 1
_space_group_name_Hall 'P 1'
loop_
_atom_site_label
_atom_site_fract_x
_atom_site_fract_y
_atom_site_fract_z
Te1 0.083 0.083 0.083
Te2 0.917 0.917 0.917
Re1 0.000 0.000 0.000
Na1 0.500 0.500 0.500

=====

5.
# Na2Re2Te, optimized geometry, DFT PBE-GGA
# Energy relative to the lowest polymorph listed for this composition, meV per atom: 590
# E_form (uncorrected), eV/atom: 1.0331
# Raw total energy, eV/atom: -5.1021
# Symmetry: No. 127
# Total moment, Bohr magnetons per cell: 0.00
data_Na2Re2Te
_cell_length_a 9.343
_cell_length_b 9.343
_cell_length_c 2.797
_cell_angle_alpha 90.00
_cell_angle_beta 90.00
_cell_angle_gamma 90.00
_space_group_name_H-M_alt 'P 1'
_space_group_IT_number 1
_space_group_name_Hall 'P 1'
loop_
_atom_site_label
_atom_site_fract_x
_atom_site_fract_y
_atom_site_fract_z
Re1 0.917 0.417 0.500
Re2 0.583 0.917 0.500
Re3 0.083 0.583 0.500
Re4 0.417 0.083 0.500
Na1 0.198 0.302 0.000
Na2 0.698 0.198 0.000
Na3 0.302 0.802 0.000
Na4 0.802 0.698 0.000
Te1 0.000 0.000 0.000
Te2 0.500 0.500 0.000

=====

6.
# Na2ReTeW, optimized geometry, DFT PBE-GGA
# E_form (uncorrected), eV/atom: 1.5482
# Raw total energy, eV/atom: -4.6880
# Symmetry: No. 123
# Total moment, Bohr magnetons per cell: 0.31
data_Na2ReTeW
_cell_length_a 5.652
_cell_length_b 4.716
_cell_length_c 5.652
_cell_angle_alpha 90.00
_cell_angle_beta 90.00
_cell_angle_gamma 90.00
_space_group_name_H-M_alt 'P 1'
_space_group_IT_number 1
_space_group_name_Hall 'P 1'
loop_
_atom_site_label
_atom_site_fract_x
_atom_site_fract_y
_atom_site_fract_z
Na1 0.500 0.000 0.000
Na2 0.000 0.000 0.500
Te1 0.500 0.500 0.500
W1 0.000 0.000 0.000
Re1 0.000 0.500 0.000

=====

7.
# NaRe2TeW, optimized geometry, DFT PBE-GGA
# E_form (uncorrected), eV/atom: 3.0595
# Raw total energy, eV/atom: -5.4026
# Symmetry: No. 123
# Total moment, Bohr magnetons per cell: 4.50
data_NaRe2TeW
_cell_length_a 4.601
_cell_length_b 4.675
_cell_length_c 4.601
_cell_angle_alpha 90.00
_cell_angle_beta 90.00
_cell_angle_gamma 90.00
_space_group_name_H-M_alt 'P 1'
_space_group_IT_number 1
_space_group_name_Hall 'P 1'
loop_
_atom_site_label
_atom_site_fract_x
_atom_site_fract_y
_atom_site_fract_z
Re1 0.000 0.000 0.500
Re2 0.500 0.000 0.000
Na1 0.000 0.000 0.000
Te1 0.500 0.500 0.500
W1 0.000 0.500 0.000

=====

8.
# Na2YReTe, optimized geometry, DFT PBE-GGA
# E_form (uncorrected), eV/atom: 0.9401
# Raw total energy, eV/atom: -3.9983
# Symmetry: No. 123
# Total moment, Bohr magnetons per cell: 3.22
data_Na2YReTe
_cell_length_a 5.391
_cell_length_b 5.891
_cell_length_c 5.391
_cell_angle_alpha 90.00
_cell_angle_beta 90.00
_cell_angle_gamma 90.00
_space_group_name_H-M_alt 'P 1'
_space_group_IT_number 1
_space_group_name_Hall 'P 1'
loop_
_atom_site_label
_atom_site_fract_x
_atom_site_fract_y
_atom_site_fract_z
Na1 0.500 0.000 0.000
Na2 0.000 0.000 0.500
Te1 0.000 0.000 0.000
Re1 0.500 0.500 0.500
Y1 0.000 0.500 0.000

=====

9.
# NaTi3Re, optimized geometry, DFT PBE-GGA
# Energy relative to the lowest polymorph listed for this composition, meV per atom: 0
# Raw total energy, eV/atom: -6.8536
# Symmetry: No. 221
# ΔE_f, eV/atom: 0.637
# Total moment, Bohr magnetons per cell: 1.64
data_NaTi3Re
_cell_length_a 4.864
_cell_length_b 4.864
_cell_length_c 4.864
_cell_angle_alpha 90.00
_cell_angle_beta 90.00
_cell_angle_gamma 90.00
_space_group_name_H-M_alt 'P 1'
_space_group_IT_number 1
_space_group_name_Hall 'P 1'
loop_
_atom_site_label
_atom_site_fract_x
_atom_site_fract_y
_atom_site_fract_z
Ti1 0.000 0.000 0.500
Ti2 0.000 0.500 0.000
Ti3 0.500 0.000 0.000
Re1 0.000 0.000 0.000
Na1 0.500 0.500 0.500

=====

10.
# Na2TiRe, optimized geometry, DFT PBE-GGA
# Energy relative to the lowest polymorph listed for this composition, meV per atom: 0
# Raw total energy, eV/atom: -4.9087
# Symmetry: No. 122
# ΔE_f, eV/atom: 0.837
# Total moment, Bohr magnetons per cell: 0.00
data_Na2TiRe
_cell_length_a 3.668
_cell_length_b 3.668
_cell_length_c 11.790
_cell_angle_alpha 81.05
_cell_angle_beta 81.05
_cell_angle_gamma 90.00
_space_group_name_H-M_alt 'P 1'
_space_group_IT_number 1
_space_group_name_Hall 'P 1'
loop_
_atom_site_label
_atom_site_fract_x
_atom_site_fract_y
_atom_site_fract_z
Na1 0.875 0.881 0.750
Na2 0.631 0.125 0.250
Na3 0.119 0.625 0.250
Na4 0.375 0.369 0.750
Ti1 0.500 0.500 0.000
Ti2 0.250 0.750 0.500
Re1 0.750 0.250 0.500
Re2 0.000 0.000 0.000

=====

11.
# NaTiRe2, optimized geometry, DFT PBE-GGA
# Energy relative to the lowest polymorph listed for this composition, meV per atom: 0
# Raw total energy, eV/atom: -7.6098
# Symmetry: No. 225
# ΔE_f, eV/atom: 0.918
# Total moment, Bohr magnetons per cell: 0.00
data_NaTiRe2
_cell_length_a 4.468
_cell_length_b 4.468
_cell_length_c 4.468
_cell_angle_alpha 60.00
_cell_angle_beta 60.00
_cell_angle_gamma 60.00
_space_group_name_H-M_alt 'P 1'
_space_group_IT_number 1
_space_group_name_Hall 'P 1'
loop_
_atom_site_label
_atom_site_fract_x
_atom_site_fract_y
_atom_site_fract_z
Re1 0.750 0.750 0.750
Re2 0.250 0.250 0.250
Ti1 0.500 0.500 0.500
Na1 0.000 0.000 0.000

=====

12.
# NaTiRe3, optimized geometry, DFT PBE-GGA
# Energy relative to the lowest polymorph listed for this composition, meV per atom: 0
# Raw total energy, eV/atom: -7.3873
# Symmetry: No. 221
# ΔE_f, eV/atom: 1.924
# Total moment, Bohr magnetons per cell: 0.00
data_NaTiRe3
_cell_length_a 4.634
_cell_length_b 4.634
_cell_length_c 4.634
_cell_angle_alpha 90.00
_cell_angle_beta 90.00
_cell_angle_gamma 90.00
_space_group_name_H-M_alt 'P 1'
_space_group_IT_number 1
_space_group_name_Hall 'P 1'
loop_
_atom_site_label
_atom_site_fract_x
_atom_site_fract_y
_atom_site_fract_z
Ti1 0.000 0.000 0.000
Re1 0.500 0.000 0.000
Re2 0.000 0.000 0.500
Re3 0.000 0.500 0.000
Na1 0.500 0.500 0.500

=====

13.
# Na2TiRe, optimized geometry, DFT PBE-GGA
# Energy relative to the lowest polymorph listed for this composition, meV per atom: 731
# Raw total energy, eV/atom: -4.1772
# Symmetry: No. 225
# ΔE_f, eV/atom: 1.568
# Total moment, Bohr magnetons per cell: 0.01
data_Na2TiRe
_cell_length_a 4.727
_cell_length_b 4.727
_cell_length_c 4.727
_cell_angle_alpha 60.00
_cell_angle_beta 60.00
_cell_angle_gamma 60.00
_space_group_name_H-M_alt 'P 1'
_space_group_IT_number 1
_space_group_name_Hall 'P 1'
loop_
_atom_site_label
_atom_site_fract_x
_atom_site_fract_y
_atom_site_fract_z
Na1 0.250 0.250 0.250
Na2 0.750 0.750 0.750
Re1 0.500 0.500 0.500
Ti1 0.000 0.000 0.000

=====

14.
# NaTiRe2, optimized geometry, DFT PBE-GGA
# Energy relative to the lowest polymorph listed for this composition, meV per atom: 131
# Raw total energy, eV/atom: -7.4792
# Symmetry: No. 122
# ΔE_f, eV/atom: 1.048
# Total moment, Bohr magnetons per cell: 0.00
data_NaTiRe2
_cell_length_a 3.891
_cell_length_b 3.891
_cell_length_c 10.030
_cell_angle_alpha 78.81
_cell_angle_beta 78.81
_cell_angle_gamma 90.00
_space_group_name_H-M_alt 'P 1'
_space_group_IT_number 1
_space_group_name_Hall 'P 1'
loop_
_atom_site_label
_atom_site_fract_x
_atom_site_fract_y
_atom_site_fract_z
Na1 0.500 0.500 0.000
Na2 0.250 0.750 0.500
Ti1 0.750 0.250 0.500
Ti2 0.000 0.000 0.000
Re1 0.875 0.312 0.750
Re2 0.688 0.625 0.250
Re3 0.062 0.125 0.250
Re4 0.375 0.938 0.750

=====

15.
# NaZr2TiRe, optimized geometry, DFT PBE-GGA
# Raw total energy, eV/atom: -6.5965
# Symmetry: No. 123
# ΔE_f, eV/atom: 1.155
# Total moment, Bohr magnetons per cell: 0.01
data_NaZr2TiRe
_cell_length_a 4.980
_cell_length_b 5.276
_cell_length_c 4.980
_cell_angle_alpha 90.00
_cell_angle_beta 90.00
_cell_angle_gamma 90.00
_space_group_name_H-M_alt 'P 1'
_space_group_IT_number 1
_space_group_name_Hall 'P 1'
loop_
_atom_site_label
_atom_site_fract_x
_atom_site_fract_y
_atom_site_fract_z
Zr1 0.500 0.000 0.000
Zr2 0.000 0.000 0.500
Ti1 0.500 0.500 0.500
Na1 0.000 0.500 0.000
Re1 0.000 0.000 0.000

=====

16.
# Na2TlRe, optimized geometry, DFT PBE-GGA
# Energy relative to the lowest polymorph listed for this composition, meV per atom: 5
# Raw total energy, eV/atom: -3.1766
# Symmetry: No. 122
# ΔE_f, eV/atom: 1.187
# Total moment, Bohr magnetons per cell: 4.82
data_Na2TlRe
_cell_length_a 8.453
_cell_length_b 8.453
_cell_length_c 6.595
_cell_angle_alpha 50.14
_cell_angle_beta 50.14
_cell_angle_gamma 90.00
_space_group_name_H-M_alt 'P 1'
_space_group_IT_number 1
_space_group_name_Hall 'P 1'
loop_
_atom_site_label
_atom_site_fract_x
_atom_site_fract_y
_atom_site_fract_z
Tl1 0.000 0.000 0.000
Tl2 0.750 0.250 0.500
Na1 0.129 0.625 0.250
Na2 0.621 0.125 0.250
Na3 0.875 0.871 0.750
Na4 0.375 0.379 0.750
Re1 0.250 0.750 0.500
Re2 0.500 0.500 0.000

=====

17.
# NaTl2Re2, optimized geometry, DFT PBE-GGA
# Energy relative to the lowest polymorph listed for this composition, meV per atom: 244
# Raw total energy, eV/atom: -5.3864
# Symmetry: No. 127
# ΔE_f, eV/atom: 0.803
# Total moment, Bohr magnetons per cell: 0.00
data_NaTl2Re2
_cell_length_a 8.627
_cell_length_b 8.627
_cell_length_c 2.935
_cell_angle_alpha 90.00
_cell_angle_beta 90.00
_cell_angle_gamma 90.00
_space_group_name_H-M_alt 'P 1'
_space_group_IT_number 1
_space_group_name_Hall 'P 1'
loop_
_atom_site_label
_atom_site_fract_x
_atom_site_fract_y
_atom_site_fract_z
Tl1 0.808 0.692 0.000
Tl2 0.192 0.308 0.000
Tl3 0.308 0.808 0.000
Tl4 0.692 0.192 0.000
Na1 0.500 0.500 0.000
Na2 0.000 0.000 0.000
Re1 0.905 0.405 0.500
Re2 0.095 0.595 0.500
Re3 0.405 0.095 0.500
Re4 0.595 0.905 0.500

=====

18.
# NaTlRe3, optimized geometry, DFT PBE-GGA
# Energy relative to the lowest polymorph listed for this composition, meV per atom: 0
# Raw total energy, eV/atom: -5.1324
# Symmetry: No. 221
# ΔE_f, eV/atom: 3.074
# Total moment, Bohr magnetons per cell: 4.54
data_NaTlRe3
_cell_length_a 4.581
_cell_length_b 4.581
_cell_length_c 4.581
_cell_angle_alpha 90.00
_cell_angle_beta 90.00
_cell_angle_gamma 90.00
_space_group_name_H-M_alt 'P 1'
_space_group_IT_number 1
_space_group_name_Hall 'P 1'
loop_
_atom_site_label
_atom_site_fract_x
_atom_site_fract_y
_atom_site_fract_z
Re1 0.000 0.500 0.000
Re2 0.500 0.000 0.000
Re3 0.000 0.000 0.500
Na1 0.000 0.000 0.000
Tl1 0.500 0.500 0.500

=====

19.
# NaTlRe3, optimized geometry, DFT PBE-GGA
# Energy relative to the lowest polymorph listed for this composition, meV per atom: 127
# Raw total energy, eV/atom: -5.0049
# Symmetry: No. 221
# ΔE_f, eV/atom: 3.201
# Total moment, Bohr magnetons per cell: 4.40
data_NaTlRe3
_cell_length_a 5.057
_cell_length_b 5.057
_cell_length_c 5.057
_cell_angle_alpha 90.00
_cell_angle_beta 90.00
_cell_angle_gamma 90.00
_space_group_name_H-M_alt 'P 1'
_space_group_IT_number 1
_space_group_name_Hall 'P 1'
loop_
_atom_site_label
_atom_site_fract_x
_atom_site_fract_y
_atom_site_fract_z
Na1 0.500 0.500 0.500
Tl1 0.000 0.000 0.000
Re1 0.000 0.000 0.500
Re2 0.500 0.000 0.000
Re3 0.000 0.500 0.000

=====

20.
# NaTl2Re2, optimized geometry, DFT PBE-GGA
# Energy relative to the lowest polymorph listed for this composition, meV per atom: 0
# Raw total energy, eV/atom: -5.6308
# Symmetry: No. 139
# ΔE_f, eV/atom: 0.559
# Total moment, Bohr magnetons per cell: 0.00
data_NaTl2Re2
_cell_length_a 3.568
_cell_length_b 3.568
_cell_length_c 9.876
_cell_angle_alpha 79.59
_cell_angle_beta 79.59
_cell_angle_gamma 90.00
_space_group_name_H-M_alt 'P 1'
_space_group_IT_number 1
_space_group_name_Hall 'P 1'
loop_
_atom_site_label
_atom_site_fract_x
_atom_site_fract_y
_atom_site_fract_z
Tl1 0.621 0.621 0.759
Tl2 0.379 0.379 0.241
Re1 0.250 0.750 0.500
Re2 0.750 0.250 0.500
Na1 0.000 0.000 0.000